MnFePb2: optimized geometry, PBE.

Unit cell a=5.077 b=5.077 c=3.329 alpha=96.32 beta=96.32 gamma=99.36
Fractional positions:
1 Mn 0.000 0.000 0.000
2 Fe 0.500 0.500 0.000
3 Pb 0.000 0.500 0.500
4 Pb 0.500 0.000 0.500

ΔH_f (0 K): 0.595 eV per atom
uncorrected energy: -5.67 eV/atom
space group: No. 12
energy relative to the lowest polymorph listed for this composition: 242.0 meV/atom